{
  "formula": "Sr2ScCdAu6",
  "functional": "GGA-PBE",
  "state": "optimized geometry",
  "cell": [[7.450, 0.000, 0.000], [0.000, 7.450, 0.000], [3.725, 3.725, 5.268]],
  "species": ["Sr", "Sr", "Sc", "Cd", "Au", "Au", "Au", "Au", "Au", "Au"],
  "fractional_positions": [[0.250, 0.750, 0.500], [0.750, 0.250, 0.500], [0.500, 0.500, 0.000], [0.000, 0.000, 0.000], [0.253, 0.747, 0.000], [0.747, 0.747, 0.000], [0.253, 0.253, 0.494], [0.747, 0.253, 0.000], [0.253, 0.253, 0.000], [0.747, 0.747, 0.506]],
  "sg": "Fm-3m (225)"
}



{
  "formula": "SrScCd2Au4",
  "functional": "GGA-PBE",
  "state": "optimized geometry",
  "cell": [[4.838, 0.000, 0.000], [2.419, 4.190, 0.000], [2.419, 1.397, 8.697]],
  "species": ["Sr", "Sc", "Cd", "Cd", "Au", "Au", "Au", "Au"],
  "fractional_positions": [[0.000, 0.000, 0.000], [0.500, 0.500, 0.500], [0.756, 0.756, 0.733], [0.244, 0.244, 0.267], [0.393, 0.393, 0.820], [0.869, 0.869, 0.392], [0.131, 0.131, 0.608], [0.607, 0.607, 0.180]],
  "sg": "R-3m (166)"
}



{
  "formula": "TbSc2CdAu4",
  "functional": "GGA-PBE",
  "state": "optimized geometry",
  "cell": [[-2.172, -2.895, 3.249], [2.273, -1.136, 4.147], [-3.238, 5.105, 6.026]],
  "species": ["Tb", "Sc", "Sc", "Cd", "Au", "Au", "Au", "Au"],
  "fractional_positions": [[0.000, 0.000, 0.000], [0.757, 0.757, 0.729], [0.243, 0.243, 0.271], [0.500, 0.500, 0.500], [0.375, 0.375, 0.876], [0.878, 0.878, 0.365], [0.122, 0.122, 0.635], [0.625, 0.625, 0.124]],
  "sg": "R-3m (166)"
}



{
  "formula": "Tb2ScCdAu4",
  "functional": "GGA-PBE",
  "state": "optimized geometry",
  "cell": [[-0.488, 4.830, -0.897], [-2.538, 1.533, -3.947], [-7.915, 2.257, 2.879]],
  "species": ["Tb", "Tb", "Sc", "Cd", "Au", "Au", "Au", "Au"],
  "fractional_positions": [[0.744, 0.744, 0.767], [0.256, 0.256, 0.233], [0.500, 0.500, 0.500], [0.000, 0.000, 0.000], [0.382, 0.382, 0.854], [0.864, 0.864, 0.409], [0.136, 0.136, 0.591], [0.618, 0.618, 0.146]],
  "sg": "R-3m (166)"
}



{
  "formula": "ThScCdAu",
  "functional": "GGA-PBE",
  "state": "optimized geometry",
  "cell": [[5.173, 0.000, 0.000], [2.587, 4.480, 0.000], [2.587, 1.493, 4.224]],
  "species": ["Sc", "Au", "Th", "Cd"],
  "fractional_positions": [[0.750, 0.750, 0.750], [0.500, 0.500, 0.500], [0.250, 0.250, 0.250], [0.000, 0.000, 0.000]],
  "sg": "F-43m (216)"
}



{
  "formula": "ScTlCdAu2",
  "functional": "GGA-PBE",
  "state": "optimized geometry",
  "cell": [[5.226, 0.000, 0.000], [0.000, 5.652, 0.000], [0.000, 0.000, 5.226]],
  "species": ["Sc", "Tl", "Au", "Au", "Cd"],
  "fractional_positions": [[0.000, 0.000, 0.000], [0.500, 0.500, 0.500], [0.000, 0.000, 0.500], [0.500, 0.000, 0.000], [0.000, 0.500, 0.000]],
  "sg": "P4/mmm (123)"
}



{
  "formula": "ScTlCdAu",
  "functional": "GGA-PBE",
  "state": "optimized geometry",
  "cell": [[4.933, 0.000, 0.000], [2.467, 4.272, 0.000], [2.467, 1.424, 4.028]],
  "species": ["Sc", "Tl", "Au", "Cd"],
  "fractional_positions": [[0.250, 0.250, 0.250], [0.500, 0.500, 0.500], [0.000, 0.000, 0.000], [0.750, 0.750, 0.750]],
  "sg": "F-43m (216)"
}



{
  "formula": "Tm2ScCdAu4",
  "functional": "GGA-PBE",
  "state": "optimized geometry",
  "cell": [[4.896, 0.000, 0.000], [2.448, 4.240, 0.000], [2.448, 1.413, 8.117]],
  "species": ["Tm", "Tm", "Sc", "Cd", "Au", "Au", "Au", "Au"],
  "fractional_positions": [[0.745, 0.745, 0.766], [0.255, 0.255, 0.234], [0.500, 0.500, 0.500], [0.000, 0.000, 0.000], [0.381, 0.381, 0.856], [0.864, 0.864, 0.407], [0.136, 0.136, 0.593], [0.619, 0.619, 0.144]],
  "sg": "R-3m (166)"
}



{
  "formula": "YSc2CdAu",
  "functional": "GGA-PBE",
  "state": "optimized geometry",
  "cell": [[-1.918, 4.135, -2.663], [-4.190, -0.053, 2.935], [2.344, 3.282, 3.407]],
  "species": ["Y", "Sc", "Sc", "Au", "Cd"],
  "fractional_positions": [[0.500, 0.500, 0.500], [0.000, 0.000, 0.500], [0.500, 0.000, 0.000], [0.000, 0.500, 0.000], [0.000, 0.000, 0.000]],
  "sg": "P4/mmm (123)"
}



{
  "formula": "YSc2CdAu4",
  "functional": "GGA-PBE",
  "state": "optimized geometry",
  "cell": [[4.860, 0.000, 0.000], [2.430, 4.209, 0.000], [2.430, 1.403, 8.052]],
  "species": ["Y", "Sc", "Sc", "Cd", "Au", "Au", "Au", "Au"],
  "fractional_positions": [[0.000, 0.000, 0.000], [0.757, 0.757, 0.730], [0.243, 0.243, 0.270], [0.500, 0.500, 0.500], [0.375, 0.375, 0.876], [0.878, 0.878, 0.365], [0.122, 0.122, 0.635], [0.625, 0.625, 0.124]],
  "sg": "R-3m (166)"
}



{
  "formula": "Sc2ZnCdAu",
  "functional": "GGA-PBE",
  "state": "optimized geometry",
  "cell": [[-2.816, -0.174, -4.190], [-3.827, -0.866, 2.608], [-0.867, 4.962, 0.376]],
  "species": ["Sc", "Sc", "Zn", "Au", "Cd"],
  "fractional_positions": [[0.000, 0.000, 0.500], [0.500, 0.000, 0.000], [0.000, 0.000, 0.000], [0.000, 0.500, 0.000], [0.500, 0.500, 0.500]],
  "sg": "P4/mmm (123)"
}



{
  "formula": "Sc2ZnCdAu4",
  "functional": "GGA-PBE",
  "state": "optimized geometry",
  "cell": [[4.732, 0.000, 0.000], [2.366, 4.098, 0.000], [2.366, 1.366, 7.680]],
  "species": ["Sc", "Sc", "Zn", "Cd", "Au", "Au", "Au", "Au"],
  "fractional_positions": [[0.750, 0.750, 0.751], [0.250, 0.250, 0.249], [0.500, 0.500, 0.500], [0.000, 0.000, 0.000], [0.380, 0.380, 0.860], [0.872, 0.872, 0.384], [0.128, 0.128, 0.616], [0.620, 0.620, 0.140]],
  "sg": "R-3m (166)"
}



| no. | calculated formation energy (eV per atom) | mass density (g/cm³) |
| --- | --- | --- |
| 1 | -0.2724 | 8.60 |
| 2 | -0.5449 | 10.79 |
| 3 | -0.6948 | 11.56 |
| 4 | -0.7720 | 12.06 |
| 5 | -0.3450 | 9.95 |
| 6 | 0.2671 | 8.13 |
| 7 | -0.2980 | 10.93 |
| 8 | -0.7831 | 12.64 |
| 9 | 0.4220 | 5.69 |
| 10 | -0.6991 | 10.88 |
| 11 | 0.1383 | 6.42 |
| 12 | -0.6004 | 11.77 |